Entry 1:
Sc6CrS8 (PBE, optimized geometry); calculated volume = 278.66 Å³/cell; E_form (uncorrected) = -39.80 kcal/mol of atoms
1.0
6.349 0.000 3.666
2.116 5.986 3.666
0.000 0.000 7.332
S Sc Cr
8 6 1
direct
0.245 0.245 0.755
0.755 0.755 0.245
0.755 0.245 0.245
0.250 0.250 0.250
0.755 0.245 0.755
0.245 0.755 0.755
0.750 0.750 0.750
0.245 0.755 0.245
0.500 0.000 0.000
0.000 0.000 0.500
0.500 0.000 0.500
0.500 0.500 0.000
0.000 0.500 0.500
0.000 0.500 0.000
0.000 0.000 0.000

Entry 2:
ScCrSiS2 (PBE, optimized geometry); calculated volume = 98.77 Å³/cell; E_form (uncorrected) = 5.73 kcal/mol of atoms
1.0
4.668 0.000 0.000
0.000 4.534 0.000
0.000 0.000 4.668
Sc Cr Si S
1 1 1 2
direct
0.500 0.500 0.500
0.000 0.500 0.000
0.000 0.000 0.000
0.500 0.000 0.000
0.000 0.000 0.500

Entry 3:
ScCrSi2S (PBE, optimized geometry); calculated volume = 92.95 Å³/cell; E_form (uncorrected) = 3.46 kcal/mol of atoms
1.0
4.344 0.000 0.000
0.000 4.926 0.000
0.000 0.000 4.344
Sc Si S Cr
1 2 1 1
direct
0.500 0.500 0.500
0.000 0.000 0.500
0.500 0.000 0.000
0.000 0.500 0.000
0.000 0.000 0.000

Entry 4:
Tb2ScCrS6 (PBE, optimized geometry); calculated volume = 404.61 Å³/cell; E_form (uncorrected) = -38.78 kcal/mol of atoms
1.0
6.301 0.000 -0.099
0.000 6.919 0.000
-0.087 0.000 9.281
Tb Cr S Sc
4 2 12 2
direct
0.041 0.896 0.246
0.959 0.104 0.754
0.541 0.604 0.746
0.459 0.396 0.254
0.500 0.000 0.500
0.000 0.500 0.000
0.816 0.821 0.563
0.316 0.679 0.063
0.184 0.179 0.437
0.133 0.465 0.760
0.169 0.193 0.062
0.633 0.035 0.260
0.684 0.321 0.937
0.331 0.693 0.438
0.831 0.807 0.938
0.867 0.535 0.240
0.367 0.965 0.740
0.669 0.307 0.562
0.000 0.500 0.500
0.500 0.000 0.000